Material: CsRb3Na2
Method: DFT, GGA-PBE
State: optimized geometry

The total magnetization is 0.00 μB per formula unit. For the formation energy, the calculation gives 34 meV/atom. For the energy above the lowest structure with this stoichiometry, the calculation gives 5 meV/atom.

The structure belongs to space group C2/m (No. 12); the cell edges are 22.380, 7.369 and 12.351 Å and the angles 90.00°, 118.73° and 90.00°. Symmetry generates all atoms from Cs at (0.127, 0.000, 0.191), Rb at (0.061, 0.000, 0.720), Rb at (0.122, 0.500, 0.544), Rb at (0.188, 0.500, 0.009), Na at (0.022, 0.500, 0.159) and Na at (0.243, 0.000, 0.602).

***

Material: CsRb3Na
Method: DFT, GGA-PBE
State: optimized geometry

The total magnetization is 0.00 μB per formula unit. For the formation energy, the calculation gives 22 meV/atom. For the energy above the lowest structure with this stoichiometry, the calculation gives 0 meV/atom.

The structure belongs to space group P2_1/m (No. 11); the cell edges are 8.310, 9.329 and 11.087 Å and the angles 90.00°, 101.48° and 90.00°. Symmetry generates all atoms from Cs at (0.132, 0.250, 0.400), Rb at (0.030, 0.750, 0.076), Rb at (0.427, 0.504, 0.786) and Na at (0.321, 0.750, 0.445).

***

Material: CsRb2Na5
Method: DFT, GGA-PBE
State: optimized geometry

The total magnetization is 0.00 μB per formula unit. For the formation energy, the calculation gives 55 meV/atom.

The structure belongs to space group I4mm (No. 107); the cell edges are 9.369, 9.369 and 10.567 Å and the angles 90.00°, 90.00° and 90.00°. Symmetry generates all atoms from Cs at (0.000, 0.000, 0.000), Rb at (0.000, 0.500, 0.407), Na at (0.000, 0.000, 0.404) and Na at (0.199, 0.199, 0.665).

***

Material: Cs2Rb6Na3
Method: DFT, GGA-PBE
State: optimized geometry

The total magnetization is 0.00 μB per formula unit. For the formation energy, the calculation gives 64 meV/atom.

The structure belongs to space group P-62m (No. 189); the cell edges are 11.5100, 11.5100 and 7.8899 Å and the angles 90.00°, 90.00° and 120.00°. Symmetry generates all atoms from Cs at (0.3333, 0.6667, 0.0000), Rb at (0.0000, 0.4336, 0.5000), Rb at (0.0000, 0.7770, 0.0000) and Na at (0.0000, 0.8201, 0.5000).

***

Material: CsRbNa
Method: DFT, GGA-PBE
State: optimized geometry

The total magnetization is 0.00 μB per formula unit. For the formation energy, the calculation gives 78 meV/atom. For the energy above the lowest structure with this stoichiometry, the calculation gives 55 meV/atom.

The structure belongs to space group F-43m (No. 216); the cell edges are 10.185, 10.185 and 10.185 Å and the angles 90.00°, 90.00° and 90.00°. Symmetry generates all atoms from Cs at (0.000, 0.000, 0.000), Rb at (0.000, 0.000, 0.500) and Na at (0.250, 0.250, 0.750).

***

Material: CsRb8Na4
Method: DFT, GGA-PBE
State: optimized geometry

The total magnetization is 0.00 μB per formula unit. For the formation energy, the calculation gives 29 meV/atom.

The structure belongs to space group I4/mmm (No. 139); the cell edges are 15.183, 15.183 and 8.347 Å and the angles 90.00°, 90.00° and 90.00°. Symmetry generates all atoms from Cs at (0.000, 0.000, 0.000), Rb at (0.000, 0.216, 0.500), Rb at (0.000, 0.340, 0.000) and Na at (0.250, 0.250, 0.250).

***

Material: CsRbNa
Method: DFT, GGA-PBE
State: optimized geometry

The total magnetization is 0.00 μB per formula unit. For the formation energy, the calculation gives 46 meV/atom. For the energy above the lowest structure with this stoichiometry, the calculation gives 23 meV/atom.

The structure belongs to space group P3m1 (No. 156); the cell edges are 7.3010, 7.3010 and 5.0375 Å and the angles 90.00°, 90.00° and 120.00°. Symmetry generates all atoms from Cs at (0.0000, 0.0000, 0.0000), Rb at (0.3333, 0.6667, 0.5764) and Na at (0.6667, 0.3333, 0.3973).

***

Material: Cs8Rb4Na
Method: DFT, GGA-PBE
State: optimized geometry

The total magnetization is 0.00 μB per formula unit. For the formation energy, the calculation gives 73 meV/atom.

The structure belongs to space group R-3m (No. 166, hexagonal axes); the cell edges are 16.1443, 16.1443 and 19.6277 Å and the angles 90.00°, 90.00° and 120.00°. Symmetry generates all atoms from Cs at (0.0000, 0.0000, 0.2455), Cs at (0.0038, 0.5019, 0.7492), Rb at (0.0000, 0.0000, 0.5000), Rb at (0.0000, 0.5000, 0.5000) and Na at (0.0000, 0.0000, 0.0000).

***

- Which formula does entry 1 have?
  CsRb3Na2

***

- formation energy of number 2 (CsRb3Na)?
  22 meV/atom